Record 1
The following is a DFT calculation (PBE) of crystalline K2BaY at its relaxed geometry.

abc: 15.096 15.096 15.096
angles: 15.31 15.31 15.31
Fractional positions:
K  0.244  0.244  0.244
K  0.756  0.756  0.756
Ba  0.000  0.000  0.000
Y  0.500  0.500  0.500

Energy relative to the elements   387 meV per atom
Theoretical density   2.42 Mg/m³
V   52.22 Å³ per atom
Energy above the most stable polymorph in this dataset   0.494 eV/f.u.

---

Record 2
The following is a DFT calculation (PBE) of crystalline HoMgHgAu at its relaxed geometry.

abc: 4.966 4.966 4.966
angles: 60.00 60.00 60.00
Fractional positions:
Ho  0.000  0.000  0.000
Mg  0.500  0.500  0.500
Hg  0.250  0.250  0.250
Au  0.750  0.750  0.750

Energy relative to the elements   -619 meV per atom
Theoretical density   11.25 Mg/m³
V   21.65 Å³ per atom

---

> V of number 1 (K2BaY)?

52.22 Å³ per atom